(1)
Compound: TbPrCd3
Source: Alexandria via LeMat-Bulk
Functional: PBE-GGA
Structure: optimized geometry

a = 3.5255 Å, b = 5.0374 Å, c = 15.0804 Å
α = 90.00°, β = 96.71°, γ = 90.00°
Element x y z (fractional)
Cd  0.6228  0.7500  0.2456
Cd  0.6772  0.2500  0.3544
Cd  0.4759  0.2500  0.9517
Cd  0.5241  0.7500  0.0483
Cd  0.3228  0.7500  0.6456
Cd  0.3772  0.2500  0.7544
Pr  0.9251  0.7500  0.8502
Pr  0.0749  0.2500  0.1498
Tb  0.2144  0.7500  0.4289
Tb  0.7856  0.2500  0.5711

crystal system: orthorhombic



(2)
Compound: Sm5MgIn3
Source: Alexandria via LeMat-Bulk
Functional: PBE-GGA
Structure: optimized geometry

a = 6.7164 Å, b = 9.4907 Å, c = 9.4905 Å
α = 120.00°, β = 90.00°, γ = 90.00°
Element x y z (fractional)
Sm  0.0000  0.6667  0.3334
Sm  0.2500  0.6926  0.0000
Sm  0.5000  0.6667  0.3334
Sm  0.2500  0.3074  0.3074
Sm  0.7500  0.3074  0.0000
Sm  0.5000  0.3333  0.6666
Sm  0.7500  0.0000  0.3074
Sm  0.7500  0.6926  0.6926
Sm  0.0000  0.3333  0.6666
Sm  0.2500  0.0000  0.6926
In  0.7500  0.3546  0.3545
In  0.2500  0.6454  0.6454
In  0.7500  0.6454  0.0000
In  0.7500  0.0000  0.6454
In  0.2500  0.3546  0.0000
In  0.2500  0.0000  0.3545
Mg  0.5000  0.0000  0.0000
Mg  0.0000  0.0000  0.0000

crystal system: hexagonal



(3)
Compound: Rb6PuI12
Source: Alexandria via LeMat-Bulk
Functional: PBE-GGA
Structure: optimized geometry

a = 10.2787 Å, b = 10.2787 Å, c = 10.2787 Å
α = 97.76°, β = 97.76°, γ = 97.76°
Element x y z (fractional)
I  0.7061  0.0167  0.9383
I  0.1555  0.5778  0.4718
I  0.4718  0.1555  0.5778
I  0.4222  0.5282  0.8445
I  0.0617  0.2939  0.9833
I  0.5778  0.4718  0.1555
I  0.5282  0.8445  0.4222
I  0.2939  0.9833  0.0617
I  0.8445  0.4222  0.5282
I  0.9383  0.7061  0.0167
I  0.9833  0.0617  0.2939
I  0.0167  0.9383  0.7061
Rb  0.8457  0.7238  0.3706
Rb  0.7238  0.3706  0.8457
Rb  0.2762  0.6294  0.1543
Rb  0.1543  0.2762  0.6294
Rb  0.6294  0.1543  0.2762
Rb  0.3706  0.8457  0.7238
Pu  0.0000  0.0000  0.0000

crystal system: trigonal
ΔE_f (raw): -1.103 eV per atom



(4)
Compound: TiNb2Ir
Source: Alexandria via LeMat-Bulk
Functional: PBE-GGA
Structure: optimized geometry

a = 3.2275 Å, b = 3.2275 Å, c = 6.4292 Å
α = 90.00°, β = 90.00°, γ = 90.00°
Element x y z (fractional)
Ir  0.0000  0.0000  0.5042
Ti  0.5000  0.5000  0.7449
Nb  0.0000  0.0000  0.9951
Nb  0.5000  0.5000  0.2557

crystal system: tetragonal
relative energy among the computed polymorphs: 0.000 eV per atom



(5)
Compound: Ba2AcSnO6
Source: Alexandria via LeMat-Bulk
Functional: PBE-GGA
Structure: optimized geometry

a = 6.3082 Å, b = 6.2772 Å, c = 8.8935 Å
α = 90.00°, β = 90.94°, γ = 90.00°
Element x y z (fractional)
Sn  0.5000  0.0000  0.5000
Sn  0.0000  0.5000  0.0000
O  0.0795  0.4818  0.7702
O  0.2071  0.2445  0.0459
O  0.5795  0.0182  0.2702
O  0.2484  0.2126  0.4563
O  0.7484  0.2874  0.9563
O  0.7516  0.7874  0.5437
O  0.7071  0.2555  0.5459
O  0.2516  0.7126  0.0437
O  0.7929  0.7555  0.9541
O  0.9205  0.5182  0.2298
O  0.2929  0.7445  0.4541
O  0.4205  0.9818  0.7298
Ba  0.5111  0.5223  0.7473
Ba  0.4889  0.4777  0.2527
Ba  0.0111  0.9777  0.2473
Ba  0.9889  0.0223  0.7527
Ac  0.0000  0.5000  0.5000
Ac  0.5000  0.0000  0.0000

crystal system: monoclinic
ΔE_f (raw): -2.383 eV per atom



(6)
Compound: AlCrCl2
Source: Alexandria via LeMat-Bulk
Functional: PBE-GGA
Structure: optimized geometry

a = 3.3185 Å, b = 6.0424 Å, c = 4.1649 Å
α = 90.00°, β = 90.00°, γ = 90.00°
Element x y z (fractional)
Al  0.0000  0.5000  0.5000
Cl  0.5000  0.5000  0.0000
Cl  0.0000  0.0000  0.0000
Cr  0.5000  0.0000  0.5000

crystal system: orthorhombic
ΔE_f (raw): -0.089 eV per atom
relative energy among the computed polymorphs: 0.466 eV per atom



(7)
Compound: VTcNi2H
Source: Alexandria via LeMat-Bulk
Functional: PBE-GGA
Structure: optimized geometry

a = 3.5908 Å, b = 3.5908 Å, c = 3.9759 Å
α = 90.00°, β = 90.00°, γ = 90.00°
Element x y z (fractional)
Ni  0.0000  0.5000  0.0000
Ni  0.5000  0.0000  0.0000
Tc  0.0000  0.0000  0.5000
V  0.5000  0.5000  0.5000
H  0.0000  0.0000  0.0000

crystal system: tetragonal
relative energy among the computed polymorphs: 0.000 eV per atom



(8)
Compound: ZnCdMoAu2
Source: Alexandria via LeMat-Bulk
Functional: PBE-GGA
Structure: optimized geometry

a = 4.8070 Å, b = 4.8287 Å, c = 4.8070 Å
α = 90.00°, β = 90.00°, γ = 90.00°
Element x y z (fractional)
Au  0.5000  0.0000  0.0000
Au  0.0000  0.0000  0.5000
Cd  0.0000  0.5000  0.0000
Mo  0.5000  0.5000  0.5000
Zn  0.0000  0.0000  0.0000

crystal system: tetragonal



Computed E_tot (eV for the cell shown) in order:
-27.41 -73.43 -59.71 -38.42 -131.08 -17.41 -34.99 -14.93